# 1
VASP calculation (PBE) on a geometry-optimized B2RuRh2 structure.

- Energy of formation from the pure elements: -0.149 eV/atom
- DOS at the Fermi energy: 13.6 states/eV/cell
- Calculated total energy: -7.6161 eV/atom

Cell lengths 5.5456, 6.5219, 7.5173 Å; angles 69.11, 78.11, 65.44 degrees
Last column: nearest neighbours and their distance in Å.
Space group P-1 (No. 2)
Asymmetric unit:
B1 0.0812 0.2465 0.1348  5 Rh 2.09-2.32, 1 Ru 2.14
B2 0.0806 0.7459 0.1397  4 Rh 2.09-2.15, 2 Ru 2.19-2.29
B3 0.2982 0.7725 0.5001  1 B 2.04, 1 Rh 2.10, 4 Ru 2.13-2.24
B4 0.3145 0.2680 0.5136  1 B 2.04, 1 Ru 2.06, 3 Rh 2.14-2.16
Ru1 0.0618 0.0153 0.6683  4 B 2.14-2.29
Ru2 0.4122 0.5467 0.3260  4 B 2.06-2.19
Rh1 0.0628 0.5192 0.6638  5 B 2.15-2.37
Rh2 0.2610 0.9907 0.9930  3 B 2.09
Rh3 0.2626 0.4906 0.9939  3 B 2.09-2.11
Rh4 0.4055 0.0587 0.3273  4 B 2.10-2.19

---

# 2
VASP calculation (PBE) on a geometry-optimized BRu2Rh structure.

- Energy of formation from the pure elements: 0.040 eV/atom
- DOS at the Fermi energy: 16.3 states/eV/cell
- Calculated total energy: -8.1051 eV/atom

Cell lengths 2.8396, 2.8396, 21.3170 Å; angles 90.00, 90.00, 120.00 degrees
Last column: nearest neighbours and their distance in Å.
Space group R3m (No. 160, hexagonal axes)
Asymmetric unit:
B1 0.0000 0.0000 0.0000  6 Ru 2.12
Ru1 0.0000 0.0000 0.3967  3 B 2.12
Ru2 0.0000 0.0000 0.6038  3 B 2.12
Rh1 0.0000 0.0000 0.8366  6 Ru 2.70-2.80, 6 Rh 2.84